1.
HfNiAg2N | PBE-GGA | relaxed

Results
Crystal system ... tetragonal
VASP energy ... -17.89 eV/f.u.
Symmetry ... P4/mmm (123)

a = 5.217 Å, b = 4.484 Å, c = 5.217 Å
α = 90.00°, β = 90.00°, γ = 90.00°
Sites, in units of the cell vectors:
Ni1 0.000 0.500 0.000
Hf1 0.000 0.000 0.000
Ag1 0.000 0.000 0.500
Ag2 0.500 0.000 0.000
N1 0.500 0.500 0.500

=====

2.
Th3Sn5Te12 | PBE-GGA | relaxed

Results
Crystal system ... cubic
VASP energy ... -90.82 eV/f.u.
Symmetry ... Ia-3d (230)

a = 15.750 Å, b = 15.750 Å, c = 15.750 Å
α = 109.47°, β = 109.47°, γ = 109.47°
Sites, in units of the cell vectors:
Th1 0.750 0.375 0.125
Th2 0.875 0.750 0.125
Th3 0.375 0.750 0.625
Th4 0.250 0.125 0.375
Th5 0.875 0.125 0.250
Th6 0.375 0.625 0.250
Th7 0.625 0.375 0.750
Th8 0.125 0.875 0.750
Th9 0.750 0.875 0.625
Th10 0.625 0.250 0.375
Th11 0.125 0.250 0.875
Th12 0.250 0.625 0.875
Sn1 0.125 0.375 0.250
Sn2 0.000 0.500 0.000
Sn3 0.000 0.000 0.000
Sn4 0.375 0.250 0.125
Sn5 0.500 0.000 0.500
Sn6 0.500 0.500 0.000
Sn7 0.125 0.750 0.375
Sn8 0.750 0.125 0.875
Sn9 0.750 0.625 0.375
Sn10 0.375 0.125 0.750
Sn11 0.625 0.875 0.250
Sn12 0.500 0.500 0.500
Sn13 0.500 0.000 0.000
Sn14 0.000 0.000 0.500
Sn15 0.250 0.375 0.625
Sn16 0.250 0.875 0.125
Sn17 0.000 0.500 0.500
Sn18 0.875 0.250 0.625
Sn19 0.625 0.750 0.875
Sn20 0.875 0.625 0.750
Te1 0.724 0.140 0.055
Te2 0.331 0.555 0.416
Te3 0.945 0.360 0.276
Te4 0.555 0.224 0.140
Te5 0.584 0.724 0.669
Te6 0.945 0.584 0.169
Te7 0.331 0.776 0.416
Te8 0.084 0.916 0.140
Te9 0.584 0.945 0.669
Te10 0.724 0.584 0.169
Te11 0.776 0.445 0.360
Te12 0.831 0.916 0.055
Te13 0.140 0.724 0.555
Te14 0.360 0.416 0.084
Te15 0.084 0.916 0.360
Te16 0.416 0.140 0.584
Te17 0.084 0.169 0.224
Te18 0.445 0.669 0.084
Te19 0.831 0.916 0.276
Te20 0.140 0.416 0.084
Te21 0.360 0.945 0.776
Te22 0.584 0.640 0.416
Te23 0.916 0.831 0.555
Te24 0.776 0.331 0.916
Te25 0.416 0.360 0.584
Te26 0.084 0.169 0.445
Te27 0.224 0.669 0.084
Te28 0.169 0.084 0.724
Te29 0.640 0.055 0.224
Te30 0.860 0.584 0.916
Te31 0.555 0.331 0.916
Te32 0.584 0.860 0.416
Te33 0.916 0.831 0.776
Te34 0.916 0.084 0.640
Te35 0.860 0.276 0.445
Te36 0.169 0.084 0.945
Te37 0.640 0.584 0.916
Te38 0.416 0.055 0.331
Te39 0.276 0.416 0.831
Te40 0.224 0.555 0.640
Te41 0.916 0.084 0.860
Te42 0.669 0.224 0.584
Te43 0.445 0.776 0.860
Te44 0.055 0.416 0.831
Te45 0.416 0.276 0.331
Te46 0.055 0.640 0.724
Te47 0.669 0.445 0.584
Te48 0.276 0.860 0.945

=====

3.
PaFeRe | PBE-GGA | relaxed

Results
Crystal system ... orthorhombic
Energy of formation ... 22.5 kJ/mol of atoms
VASP energy ... -29.71 eV/f.u.
Energy above the most stable polymorph in this dataset ... 371 meV per atom
Symmetry ... Fddd (70)

a = 9.411 Å, b = 9.411 Å, c = 8.602 Å
α = 144.76°, β = 144.76°, γ = 60.46°
Sites, in units of the cell vectors:
Fe1 0.219 0.219 0.439
Fe2 0.781 0.781 0.561
Fe3 0.031 0.531 0.061
Fe4 0.469 0.969 0.939
Re1 0.625 0.875 0.250
Re2 0.625 0.375 0.750
Re3 0.625 0.375 0.250
Re4 0.125 0.375 0.750
Pa1 0.444 0.944 0.500
Pa2 0.194 0.194 0.000
Pa3 0.056 0.556 0.500
Pa4 0.806 0.806 0.000

=====

4.
KRbIr3 | PBE-GGA | relaxed

Results
Crystal system ... cubic
Energy of formation ... 272.8 kJ/mol of atoms
VASP energy ... -14.51 eV/f.u.
Energy above the most stable polymorph in this dataset ... 0 meV per atom
Symmetry ... Pm-3m (221)

a = 5.112 Å, b = 5.112 Å, c = 5.112 Å
α = 90.00°, β = 90.00°, γ = 90.00°
Sites, in units of the cell vectors:
K1 0.000 0.000 0.000
Ir1 0.000 0.500 0.000
Ir2 0.000 0.000 0.500
Ir3 0.500 0.000 0.000
Rb1 0.500 0.500 0.500

=====

5.
RbMg3Cl | PBE-GGA | relaxed

Results
Crystal system ... cubic
VASP energy ... -7.16 eV/f.u.
Energy above the most stable polymorph in this dataset ... 0 meV per atom
Symmetry ... Pm-3m (221)

a = 5.812 Å, b = 5.812 Å, c = 5.812 Å
α = 90.00°, β = 90.00°, γ = 90.00°
Sites, in units of the cell vectors:
Mg1 0.000 0.500 0.000
Mg2 0.000 0.000 0.500
Mg3 0.500 0.000 0.000
Rb1 0.500 0.500 0.500
Cl1 0.000 0.000 0.000

=====

6.
NaCa2OsO | PBE-GGA | relaxed

Results
Crystal system ... tetragonal
VASP energy ... -14.57 eV/f.u.
Energy above the most stable polymorph in this dataset ... 1835 meV per atom
Symmetry ... P4/mmm (123)

a = 5.544 Å, b = 4.635 Å, c = 5.544 Å
α = 90.00°, β = 90.00°, γ = 90.00°
Sites, in units of the cell vectors:
Na1 0.000 0.000 0.000
Ca1 0.000 0.000 0.500
Ca2 0.500 0.000 0.000
Os1 0.000 0.500 0.000
O1 0.500 0.500 0.500

=====

7.
SmB2Ir | PBE-GGA | relaxed

Results
Crystal system ... orthorhombic
Energy of formation ... -44.8 kJ/mol of atoms
VASP energy ... -28.79 eV/f.u.
Energy above the most stable polymorph in this dataset ... 0 meV per atom
Symmetry ... Pnma (62)

a = 5.977 Å, b = 6.539 Å, c = 6.096 Å
α = 90.00°, β = 90.00°, γ = 90.00°
Sites, in units of the cell vectors:
Sm1 0.750 0.663 0.854
Sm2 0.750 0.163 0.646
Sm3 0.250 0.337 0.146
Sm4 0.250 0.837 0.354
B1 0.893 0.531 0.418
B2 0.607 0.031 0.082
B3 0.393 0.469 0.582
B4 0.107 0.969 0.918
B5 0.107 0.469 0.582
B6 0.393 0.969 0.918
B7 0.607 0.531 0.418
B8 0.893 0.031 0.082
Ir1 0.750 0.829 0.336
Ir2 0.750 0.329 0.164
Ir3 0.250 0.171 0.664
Ir4 0.250 0.671 0.836

=====

8.
CeUAs2 | PBE-GGA | relaxed

Results
Crystal system ... tetragonal
Energy of formation ... -80.9 kJ/mol of atoms
VASP energy ... -29.87 eV/f.u.
Energy above the most stable polymorph in this dataset ... 231 meV per atom
Symmetry ... P4/mmm (123)

a = 3.551 Å, b = 3.551 Å, c = 7.157 Å
α = 90.00°, β = 90.00°, γ = 90.00°
Sites, in units of the cell vectors:
As1 0.000 0.000 0.760
As2 0.000 0.000 0.240
U1 0.500 0.500 0.000
Ce1 0.500 0.500 0.500

=====

9.
Th3ZnSe2 | PBE-GGA | relaxed

Results
Crystal system ... orthorhombic
VASP energy ... -36.68 eV/f.u.
Symmetry ... Fddd (70)

a = 7.353 Å, b = 7.353 Å, c = 13.442 Å
α = 100.55°, β = 100.55°, γ = 109.30°
Sites, in units of the cell vectors:
Th1 0.166 0.670 0.832
Th2 0.667 0.162 0.832
Th3 0.084 0.080 0.668
Th4 0.583 0.588 0.668
Th5 0.005 0.505 0.500
Th6 0.495 0.995 0.500
Th7 0.412 0.417 0.332
Th8 0.920 0.916 0.332
Th9 0.838 0.333 0.168
Th10 0.330 0.834 0.168
Th11 0.245 0.245 0.000
Th12 0.755 0.755 0.000
Zn1 0.916 0.916 0.833
Zn2 0.334 0.834 0.667
Zn3 0.166 0.666 0.333
Zn4 0.084 0.084 0.167
Se1 0.000 0.500 0.000
Se2 0.417 0.417 0.834
Se3 0.833 0.333 0.666
Se4 0.250 0.250 0.500
Se5 0.750 0.750 0.500
Se6 0.667 0.167 0.334
Se7 0.583 0.583 0.166
Se8 0.500 0.000 0.000

=====

10.
Mo2AsOs | PBE-GGA | relaxed

Results
Crystal system ... orthorhombic
Energy of formation ... 12.1 kJ/mol of atoms
VASP energy ... -37.04 eV/f.u.
Symmetry ... Immm (71)

a = 5.172 Å, b = 5.172 Å, c = 4.435 Å
α = 64.61°, β = 64.61°, γ = 34.64°
Sites, in units of the cell vectors:
Mo1 0.985 0.985 0.015
Mo2 0.515 0.515 0.485
Os1 0.750 0.750 0.750
As1 0.250 0.250 0.250

=====

11.
RbNaHf2Co | PBE-GGA | relaxed

Results
Crystal system ... tetragonal
Energy of formation ... 59.2 kJ/mol of atoms
VASP energy ... -26.23 eV/f.u.
Symmetry ... P4/mmm (123)

a = 4.807 Å, b = 6.148 Å, c = 4.807 Å
α = 90.00°, β = 90.00°, γ = 90.00°
Sites, in units of the cell vectors:
Co1 0.000 0.000 0.000
Hf1 0.000 0.000 0.500
Hf2 0.500 0.000 0.000
Rb1 0.500 0.500 0.500
Na1 0.000 0.500 0.000

=====

12.
SrLa2CdNi | PBE-GGA | relaxed

Results
Crystal system ... tetragonal
Energy of formation ... -9.6 kJ/mol of atoms
VASP energy ... -18.73 eV/f.u.
Energy above the most stable polymorph in this dataset ... 7 meV per atom
Symmetry ... P4/mmm (123)

a = 5.354 Å, b = 5.988 Å, c = 5.354 Å
α = 90.00°, β = 90.00°, γ = 90.00°
Sites, in units of the cell vectors:
Sr1 0.000 0.500 0.000
Cd1 0.500 0.500 0.500
Ni1 0.000 0.000 0.000
La1 0.000 0.000 0.500
La2 0.500 0.000 0.000

=====

13.
Li5Cd2Ag2Rh | PBE-GGA | relaxed

Results
Crystal system ... tetragonal
Energy of formation ... -8.9 kJ/mol of atoms
VASP energy ... -25.38 eV/f.u.
Symmetry ... P4/mbm (127)

a = 3.123 Å, b = 10.447 Å, c = 10.447 Å
α = 90.00°, β = 90.00°, γ = 90.00°
Sites, in units of the cell vectors:
Li1 0.500 0.186 0.035
Li2 0.500 0.814 0.965
Li3 0.500 0.035 0.814
Li4 0.500 0.686 0.465
Li5 0.500 0.965 0.186
Li6 0.500 0.314 0.535
Li7 0.500 0.535 0.686
Li8 0.500 0.465 0.314
Li9 0.500 0.500 0.000
Li10 0.500 0.000 0.500
Cd1 0.000 0.667 0.167
Cd2 0.000 0.333 0.833
Cd3 0.000 0.167 0.333
Cd4 0.000 0.833 0.667
Ag1 0.000 0.141 0.641
Ag2 0.000 0.859 0.359
Ag3 0.000 0.641 0.859
Ag4 0.000 0.359 0.141
Rh1 0.000 0.000 0.000
Rh2 0.000 0.500 0.500

=====

14.
La4Y3Ho5 | PBE-GGA | relaxed

Results
Crystal system ... monoclinic
Energy of formation ... 21.9 kJ/mol of atoms
VASP energy ... -59.27 eV/f.u.
Symmetry ... C2/m (12)

a = 5.993 Å, b = 8.700 Å, c = 9.651 Å
α = 104.20°, β = 71.91°, γ = 69.85°
Sites, in units of the cell vectors:
La1 0.863 0.225 0.049
La2 0.166 0.050 0.618
La3 0.834 0.950 0.382
La4 0.137 0.775 0.951
Y1 0.524 0.695 0.258
Y2 0.000 0.500 0.500
Y3 0.476 0.305 0.742
Ho1 0.639 0.928 0.793
Ho2 0.500 0.500 0.500
Ho3 0.206 0.463 0.125
Ho4 0.794 0.537 0.875
Ho5 0.361 0.072 0.207

=====

15.
Ba2PmNpS6 | PBE-GGA | relaxed

Results
Crystal system ... monoclinic
VASP energy ... -64.05 eV/f.u.
Symmetry ... P2_1/c (14)

a = 7.251 Å, b = 7.544 Å, c = 10.421 Å
α = 90.00°, β = 90.18°, γ = 90.00°
Sites, in units of the cell vectors:
Ba1 0.017 0.937 0.250
Ba2 0.517 0.563 0.750
Ba3 0.983 0.063 0.750
Ba4 0.483 0.437 0.250
Pm1 0.500 0.000 0.000
Pm2 0.000 0.500 0.500
Np1 0.500 0.000 0.500
Np2 0.000 0.500 0.000
S1 0.289 0.695 0.045
S2 0.789 0.805 0.545
S3 0.711 0.305 0.955
S4 0.211 0.195 0.455
S5 0.307 0.712 0.452
S6 0.807 0.788 0.952
S7 0.693 0.288 0.548
S8 0.193 0.212 0.048
S9 0.912 0.523 0.241
S10 0.412 0.977 0.741
S11 0.088 0.477 0.759
S12 0.588 0.023 0.259

=====

16.
Sr3PrY3Te8 | PBE-GGA | relaxed

Results
Crystal system ... trigonal
VASP energy ... -77.33 eV/f.u.
Symmetry ... R-3m (166)

a = 8.930 Å, b = 8.930 Å, c = 9.193 Å
α = 119.07°, β = 90.00°, γ = 120.00°
Sites, in units of the cell vectors:
Sr1 0.000 0.000 0.000
Sr2 0.000 0.500 0.000
Sr3 0.500 0.500 0.000
Pr1 0.000 0.000 0.500
Y1 0.500 0.000 0.500
Y2 0.500 0.500 0.500
Y3 0.000 0.500 0.500
Te1 0.256 0.512 0.269
Te2 0.744 0.488 0.731
Te3 0.748 0.495 0.263
Te4 0.252 0.505 0.737
Te5 0.748 0.015 0.263
Te6 0.252 0.985 0.737
Te7 0.268 0.015 0.263
Te8 0.732 0.985 0.737